## TbSm4Ho3Te8 (GGA-PBE)

Data for a geometry-optimized TbSm4Ho3Te8 structure.

```
16
Lattice="-0.112 -5.940 -6.396 -4.465 -5.563 5.244 -3.141 8.018 -1.434" Properties=species:S:1:pos:R:3 pbc="T T T"
Te -4.895 -1.622 1.592
Te -1.259 -5.854 -3.463
Ho -3.803 1.227 1.905
Te -6.459 2.369 0.878
Sm -1.626 1.039 -3.915
Sm 0.000 0.000 0.000
Te -4.939 -4.597 -1.602
Te -2.822 -1.863 -4.177
Ho -3.859 -1.743 -1.293
Te -1.203 -2.898 -0.280
Te -2.779 1.112 -0.984
Ho -2.288 -5.751 -0.576
Tb -2.232 -2.782 2.622
Sm -1.571 4.009 -0.717
Sm -0.056 -2.970 -3.198
Te -6.514 -0.587 -2.305
```

Calculated values
Crystal system   trigonal
Magnetization   0.0 μB/f.u.
Uncorrected energy   -5.219 eV/atom